No. 1
First-principles (PBE) data for crystalline LiScAgSn at its relaxed geometry, as listed in Alexandria via LeMat-Bulk.

Space-group type: F-43m
E_form (eV per atom): -0.43
DOS at the Fermi energy (states/eV/cell): 2.171

Structure (CIF):
```
data_LiScAgSn
_chemical_formula_sum 'Li1 Sc1 Ag1 Sn1'
_space_group_name_H-M_alt 'P 1'
_space_group_IT_number 1
_cell_length_a 4.815
_cell_length_b 4.815
_cell_length_c 4.815
_cell_angle_alpha 60.00
_cell_angle_beta 60.00
_cell_angle_gamma 60.00
loop_
_space_group_symop_operation_xyz
'x,y,z'
loop_
_atom_site_label
_atom_site_type_symbol
_atom_site_fract_x
_atom_site_fract_y
_atom_site_fract_z
Ag1 Ag 0.750 0.750 0.750
Sc1 Sc 0.500 0.500 0.500
Sn1 Sn 0.250 0.250 0.250
Li1 Li 0.000 0.000 0.000
```

***

No. 2
First-principles (PBE) data for crystalline LiScAgTe2 at its relaxed geometry, as listed in Alexandria via LeMat-Bulk.

Space-group type: P4/mmm
Formation energy without anion corrections (kcal/mol of atoms): 2.28
DOS at the Fermi energy (states/eV/cell): 1.062

Structure (CIF):
```
data_LiScAgTe2
_chemical_formula_sum 'Li1 Sc1 Ag1 Te2'
_space_group_name_H-M_alt 'P 1'
_space_group_IT_number 1
_cell_length_a 5.522
_cell_length_b 5.384
_cell_length_c 5.522
_cell_angle_alpha 90.00
_cell_angle_beta 90.00
_cell_angle_gamma 90.00
loop_
_space_group_symop_operation_xyz
'x,y,z'
loop_
_atom_site_label
_atom_site_type_symbol
_atom_site_fract_x
_atom_site_fract_y
_atom_site_fract_z
Sc1 Sc 0.000 0.000 0.000
Te1 Te 0.500 0.000 0.000
Te2 Te 0.000 0.000 0.500
Ag1 Ag 0.500 0.500 0.500
Li1 Li 0.000 0.500 0.000
```

***

No. 3
First-principles (PBE) data for crystalline LiThScAg at its relaxed geometry, as listed in Alexandria via LeMat-Bulk.

Space-group type: F-43m
E_form (eV per atom): 0.09
DOS at the Fermi energy (states/eV/cell): 5.894

Structure (CIF):
```
data_LiThScAg
_chemical_formula_sum 'Li1 Th1 Sc1 Ag1'
_space_group_name_H-M_alt 'P 1'
_space_group_IT_number 1
_cell_length_a 5.105
_cell_length_b 5.105
_cell_length_c 5.105
_cell_angle_alpha 60.00
_cell_angle_beta 60.00
_cell_angle_gamma 60.00
loop_
_space_group_symop_operation_xyz
'x,y,z'
loop_
_atom_site_label
_atom_site_type_symbol
_atom_site_fract_x
_atom_site_fract_y
_atom_site_fract_z
Th1 Th 0.000 0.000 0.000
Ag1 Ag 0.750 0.750 0.750
Li1 Li 0.250 0.250 0.250
Sc1 Sc 0.500 0.500 0.500
```